No. 1
Below is a geometry-optimized Cd3ReNi structure, with properties calculated at the PBE level.

Cell: 5.232 5.232 5.232 Å, 90.00 90.00 90.00°
Positions (direct):
Cd 0.000 0.000 0.500
Cd 0.000 0.500 0.000
Cd 0.500 0.000 0.000
Re 0.000 0.000 0.000
Ni 0.500 0.500 0.500

Results
The density of states at the Fermi level is 0.882 states/eV per atom. The value obtained for the uncorrected energy is -2.63 eV per atom. As for the symmetry: Pm-3m. The value obtained for the total magnetization is 0.49 μB per atom. For the energy above the lowest structure with this stoichiometry, the calculation gives 0.326 eV/atom. For the calculated volume, the calculation gives 143.19 Å³ per cell. Its crystal system is cubic.

---

No. 2
Below is a geometry-optimized Dy3Tm5Th2 structure, with properties calculated at the PBE level.

Cell: 9.690 9.690 9.120 Å, 108.35 108.35 114.02°
Positions (direct):
Dy 0.028 0.972 0.750
Dy 0.227 0.479 0.453
Dy 0.479 0.227 0.953
Dy 0.521 0.773 0.047
Dy 0.773 0.521 0.547
Dy 0.972 0.028 0.250
Tm 0.121 0.380 0.747
Tm 0.223 0.777 0.750
Tm 0.280 0.720 0.250
Tm 0.380 0.121 0.247
Tm 0.475 0.525 0.250
Tm 0.525 0.475 0.750
Tm 0.620 0.879 0.753
Tm 0.720 0.280 0.750
Tm 0.777 0.223 0.250
Tm 0.879 0.620 0.253
Th 0.017 0.269 0.033
Th 0.269 0.017 0.533
Th 0.731 0.983 0.467
Th 0.983 0.731 0.967

Results
The density of states at the Fermi level is 1.553 states/eV per atom. The value obtained for the uncorrected energy is -4.88 eV per atom. As for the symmetry: C2/c. The value obtained for the total magnetization is 0.00 μB per atom. For the calculated volume, the calculation gives 638.07 Å³ per cell. Its crystal system is monoclinic.

---

No. 3
Below is a geometry-optimized Ag2TeRu structure, with properties calculated at the PBE level.

Cell: 3.837 4.477 8.807 Å, 90.00 90.00 90.00°
Positions (direct):
Ag 0.000 0.000 0.000
Ag 0.000 0.500 0.229
Ag 0.500 0.000 0.729
Ag 0.500 0.500 0.500
Te 0.000 0.500 0.771
Te 0.500 0.000 0.271
Ru 0.000 0.000 0.469
Ru 0.500 0.500 0.969

Results
The density of states at the Fermi level is 0.582 states/eV per atom. The value obtained for the uncorrected energy is -4.14 eV per atom. As for the symmetry: Imm2. The value obtained for the total magnetization is 0.00 μB per atom. The formation energy (no corrections) is 0.389 eV/atom. For the calculated volume, the calculation gives 151.28 Å³ per cell. Its crystal system is orthorhombic.

---

No. 4
Below is a geometry-optimized BeAg structure, with properties calculated at the PBE level.

Cell: 2.952 4.271 4.300 Å, 90.00 90.00 90.00°
Positions (direct):
Be 0.250 0.250 0.067
Be 0.750 0.750 0.933
Ag 0.250 0.750 0.382
Ag 0.750 0.250 0.618

Results
The density of states at the Fermi level is 0.317 states/eV per atom. The value obtained for the uncorrected energy is -3.00 eV per atom. As for the symmetry: Pmmn. The value obtained for the total magnetization is 0.00 μB per atom. For the calculated volume, the calculation gives 54.20 Å³ per cell. Its crystal system is orthorhombic.

---

density of states at the Fermi level of number 3 (Ag2TeRu)? 0.582 states/eV per atom